P) {
  "formula": "Mn2SnO4",
  "functional": "GGA+U",
  "state": "optimized geometry",
  "cell": [[3.1734, 0.0000, 0.0000], [0.0000, 5.4493, 0.0000], [0.0000, 0.0000, 9.7409]],
  "species": ["Mn", "Mn", "Mn", "Mn", "Sn", "Sn", "O", "O", "O", "O", "O", "O", "O", "O"],
  "frac_coords": [[0.5000, 0.4417, 0.8214], [0.5000, 0.5583, 0.1786], [0.5000, 0.0583, 0.3214], [0.5000, 0.9417, 0.6786], [0.0000, 0.0000, 0.0000], [0.0000, 0.5000, 0.5000], [0.0000, 0.1460, 0.8024], [0.0000, 0.8540, 0.1976], [0.0000, 0.3540, 0.3024], [0.0000, 0.6460, 0.6976], [0.5000, 0.2461, 0.0420], [0.5000, 0.7539, 0.9580], [0.5000, 0.2539, 0.5420], [0.5000, 0.7461, 0.4580]],
  "sg": "No. 55",
  "dos_ef_per_ev_cell": 0.02
}

Q) {
  "formula": "Mn2SnO4",
  "functional": "GGA+U",
  "state": "optimized geometry",
  "cell": [[6.3154, 0.0000, 0.0000], [3.1577, 5.5654, 0.0001], [-3.1577, 1.8596, 5.2456]],
  "species": ["Mn", "Mn", "Mn", "Mn", "Sn", "Sn", "O", "O", "O", "O", "O", "O", "O", "O"],
  "frac_coords": [[0.0000, 0.0149, 0.0149], [0.5000, 0.2351, 0.2351], [0.7500, 0.6250, 0.6250], [0.2500, 0.6250, 0.6250], [0.7500, 0.6250, 0.1250], [0.2500, 0.1250, 0.6250], [0.7738, 0.3758, 0.3758], [0.2262, 0.3758, 0.3758], [0.2738, 0.8742, 0.8742], [0.7262, 0.8742, 0.8742], [0.7655, 0.8366, 0.3677], [0.2345, 0.3677, 0.8366], [0.2656, 0.8823, 0.4134], [0.7345, 0.4134, 0.8823]],
  "sg": "No. 74",
  "dos_ef_per_ev_cell": 1.71
}

Short version: Q), P), most stable first.

P) {
  "formula": "SrMn2O4",
  "functional": "GGA+U",
  "state": "optimized geometry",
  "cell": [[6.2217, -0.1125, 0.1949], [-2.1790, 5.8287, -0.1949], [-1.8637, -2.9696, 5.1447]],
  "species": ["Sr", "Sr", "Mn", "Mn", "Mn", "Mn", "O", "O", "O", "O", "O", "O", "O", "O"],
  "frac_coords": [[0.0000, 0.0000, 0.0000], [0.7500, 0.5000, 0.2500], [0.8750, 0.2499, 0.6249], [0.3751, 0.2501, 0.6250], [0.3750, 0.7501, 0.6251], [0.3749, 0.7499, 0.1250], [0.1817, 0.8085, 0.3733], [0.6267, 0.8084, 0.4352], [0.1232, 0.6915, 0.8148], [0.1852, 0.3084, 0.8767], [0.5683, 0.6916, 0.8768], [0.6268, 0.1916, 0.8183], [0.5648, 0.1915, 0.3732], [0.1233, 0.3085, 0.4317]],
  "sg": "No. 141",
  "dos_ef_per_ev_cell": 0.30
}

Q) {
  "formula": "SrMn2O4",
  "functional": "GGA+U",
  "state": "optimized geometry",
  "cell": [[-0.3529, 2.9782, 1.2960], [-3.9160, -1.9667, 3.4534], [5.3072, -0.1185, 1.7173]],
  "species": ["Sr", "Mn", "Mn", "O", "O", "O", "O"],
  "frac_coords": [[0.5000, 0.5000, 0.5000], [0.0000, 0.8378, 0.1622], [0.0000, 0.1622, 0.8378], [0.0000, 0.7968, 0.7968], [0.0000, 0.2032, 0.2032], [0.5000, 0.0000, 0.5000], [0.5000, 0.5000, 0.0000]],
  "sg": "No. 65",
  "dos_ef_per_ev_cell": 1.62
}

Short version: P), Q), most stable first.

P) {
  "formula": "Sr2MnO2",
  "functional": "GGA+U",
  "state": "optimized geometry",
  "cell": [[7.6765, 0.0000, 0.0000], [0.0000, 7.6765, 0.0000], [0.0000, 0.0000, 3.2215]],
  "species": ["Sr", "Sr", "Sr", "Sr", "Mn", "Mn", "O", "O", "O", "O"],
  "frac_coords": [[0.3589, 0.8589, 0.0000], [0.8589, 0.6411, 0.0000], [0.6411, 0.1411, 0.0000], [0.1411, 0.3589, 0.0000], [0.0000, 0.0000, 0.0000], [0.5000, 0.5000, 0.0000], [0.1436, 0.6436, 0.5000], [0.6436, 0.8564, 0.5000], [0.8564, 0.3564, 0.5000], [0.3564, 0.1436, 0.5000]],
  "sg": "No. 127",
  "dos_ef_per_ev_cell": 0.02
}

Q) {
  "formula": "Sr2MnO2",
  "functional": "GGA+U",
  "state": "optimized geometry",
  "cell": [[-2.1823, 1.6943, 3.6441], [1.2999, -3.6262, 2.4645], [4.6245, 1.9807, 4.7179]],
  "species": ["Sr", "Sr", "Mn", "O", "O"],
  "frac_coords": [[0.3171, 0.3171, 0.3658], [0.6829, 0.6829, 0.6342], [0.0000, 0.0000, 0.0000], [0.7500, 0.2500, 0.5000], [0.2500, 0.7500, 0.5000]],
  "sg": "No. 139",
  "dos_ef_per_ev_cell": 0.05
}

R) {
  "formula": "Sr2MnO2",
  "functional": "GGA+U",
  "state": "optimized geometry",
  "cell": [[4.9988, 0.0000, 0.0000], [0.0000, 4.9988, 0.0000], [2.4994, 2.4994, 4.9165]],
  "species": ["Sr", "Sr", "Mn", "O", "O"],
  "frac_coords": [[0.7500, 0.2500, 0.5000], [0.2500, 0.7500, 0.5000], [0.0000, 0.0000, 0.0000], [0.1964, 0.1964, 0.6071], [0.8036, 0.8036, 0.3929]],
  "sg": "No. 139",
  "dos_ef_per_ev_cell": 2.35
}

S) {
  "formula": "Sr2MnO2",
  "functional": "GGA+U",
  "state": "optimized geometry",
  "cell": [[-6.1702, 3.1228, 1.6671], [-1.2272, -5.0292, 4.8789], [1.6312, 1.9378, 2.4077]],
  "species": ["Sr", "Sr", "Sr", "Sr", "Mn", "Mn", "O", "O", "O", "O"],
  "frac_coords": [[0.1562, 0.6562, 0.5000], [0.6562, 0.8438, 0.5000], [0.8438, 0.3438, 0.5000], [0.3438, 0.1562, 0.5000], [0.0000, 0.0000, 0.0000], [0.5000, 0.5000, 0.0000], [0.3378, 0.8378, 0.0000], [0.8378, 0.6622, 0.0000], [0.6622, 0.1622, 0.0000], [0.1622, 0.3378, 0.0000]],
  "sg": "No. 127",
  "dos_ef_per_ev_cell": 0.00
}

Short version: R), S), Q), P), most stable first.